1.
The following is a PBE calculation of Tb6Nd2Pu after structural relaxation, from Alexandria via LeMat-Bulk.

abc: 5.8458 11.8695 11.8695
angles: 47.94 75.73 75.73
Site moments in Bohr magnetons follow the coordinates.
Positions (direct):
Tb  0.4487  0.4302  0.6730  0.06
Tb  0.0513  0.3270  0.5698  0.06
Tb  0.5513  0.5698  0.3270  0.06
Tb  0.9487  0.6730  0.4302  0.06
Tb  0.8549  0.0629  0.2276  0.06
Tb  0.6451  0.7724  0.9371  0.06
Tb  0.1451  0.9371  0.7724  0.06
Tb  0.3549  0.2276  0.0629  0.06
Tb  0.1244  0.5878  0.1628  0.02
Tb  0.3756  0.8372  0.4122  0.02
Tb  0.8756  0.4122  0.8372  0.02
Tb  0.6244  0.1628  0.5878  0.02
Nd  0.2778  0.6010  0.8434  0.00
Nd  0.2222  0.1566  0.3990  0.00
Nd  0.7222  0.3990  0.1566  0.00
Nd  0.7778  0.8434  0.6010  0.00
Pu  0.2500  0.0002  0.9998  5.82
Pu  0.7500  0.9998  0.0002  5.82

Summary:
* final energy: -5.596 eV/atom
* DOS(E_F): 18.04 states/eV/f.u.
* space group: Ibam (72)
* total magnetization: 6.67 μB per formula unit
* ΔE_f: 0.143 eV/atom

---

2.
The following is a PBE calculation of TbNdPu2 after structural relaxation, from Alexandria via LeMat-Bulk.

abc: 5.0618 4.8763 4.8763
angles: 90.00 90.00 90.00
Site moments in Bohr magnetons follow the coordinates.
Positions (direct):
Nd  0.5000  0.5000  0.5000  0.11
Tb  0.5000  0.0000  0.0000  0.21
Pu  0.0000  0.0000  0.5000  5.55
Pu  0.0000  0.5000  0.0000  5.55

Summary:
* final energy: -9.305 eV/atom
* DOS(E_F): 15.97 states/eV/f.u.
* space group: P4/mmm (123)
* total magnetization: 12.50 μB per formula unit
* ΔE_f: 0.211 eV/atom

---

3.
The following is a PBE calculation of TbNdPu after structural relaxation, from Alexandria via LeMat-Bulk.

abc: 8.7763 8.7763 9.4600
angles: 90.89 90.89 156.21
Site moments in Bohr magnetons follow the coordinates.
Positions (direct):
Nd  0.7043  0.7043  0.3319  0.05
Nd  0.2957  0.2957  0.6681  0.05
Pu  0.7354  0.7354  0.9278  0.65
Pu  0.2646  0.2646  0.0722  0.65
Tb  0.3451  0.6549  0.0000  -0.01
Tb  0.6549  0.3451  0.0000  -0.01

Summary:
* final energy: -6.933 eV/atom
* ΔE to the lowest computed polymorph: 0.8516 eV per atom
* DOS(E_F): 6.50 states/eV/f.u.
* space group: C2/m (12)
* total magnetization: 0.76 μB per formula unit
* ΔE_f: 0.977 eV/atom